Entry 1:
# Tb7HgRu4, optimized geometry, DFT GGA-PBE
# density of states at the Fermi level: 0.699 states/eV per atom
# total magnetic moment: 0.0 μB per formula unit
# crystal system: monoclinic
# theoretical density: 9.76 g cm⁻³
# energy of formation from the pure elements: -0.121 eV per atom
data_Tb7HgRu4
_symmetry_space_group_name_H-M 'C 1 2/m 1'
_symmetry_Int_Tables_number 12
_cell_length_a 13.682
_cell_length_b 5.511
_cell_length_c 9.672
_cell_angle_alpha 90.00
_cell_angle_beta 126.73
_cell_angle_gamma 90.00
loop_
_symmetry_equiv_pos_as_xyz
'x,y,z'
'-x,-y,-z'
'-x,y,-z'
'x,-y,z'
'x+1/2,y+1/2,z'
'-x+1/2,-y+1/2,-z'
'-x+1/2,y+1/2,-z'
'x+1/2,-y+1/2,z'
loop_
_atom_site_label
_atom_site_type_symbol
_atom_site_fract_x
_atom_site_fract_y
_atom_site_fract_z
Tb1 Tb 0.000 0.000 0.000
Tb2 Tb 0.076 0.500 0.371
Tb3 Tb 0.179 0.000 0.631
Tb4 Tb 0.213 0.500 0.877
Hg1 Hg 0.000 0.500 0.000
Ru1 Ru 0.065 0.000 0.776
Ru2 Ru 0.201 0.000 0.349

=====

Entry 2:
# LaTb2Nd2Er, optimized geometry, DFT GGA-PBE
# density of states at the Fermi level: 1.518 states/eV per atom
# total magnetic moment: 0.0 μB per formula unit
# crystal system: orthorhombic
# theoretical density: 7.51 g cm⁻³
# energy of formation from the pure elements: 0.063 eV per atom
data_LaTb2Nd2Er
_symmetry_space_group_name_H-M 'P m c 21'
_symmetry_Int_Tables_number 26
_cell_length_a 5.739
_cell_length_b 9.941
_cell_length_c 7.075
_cell_angle_alpha 90.00
_cell_angle_beta 90.00
_cell_angle_gamma 90.00
loop_
_symmetry_equiv_pos_as_xyz
'x,y,z'
'-x,-y,z+1/2'
'-x,y,z'
'x,-y,z+1/2'
loop_
_atom_site_label
_atom_site_type_symbol
_atom_site_fract_x
_atom_site_fract_y
_atom_site_fract_z
La1 La 0.000 0.000 0.000
Tb1 Tb 0.000 0.335 0.249
Tb2 Tb 0.500 0.169 0.750
Nd1 Nd 0.000 0.332 0.750
Nd2 Nd 0.500 0.500 0.000
Er1 Er 0.500 0.166 0.250

=====

Entry 3:
# Tl3RuAu, optimized geometry, DFT GGA-PBE
# density of states at the Fermi level: 1.159 states/eV per atom
# total magnetic moment: 2.4 μB per formula unit
# crystal system: cubic
# theoretical density: 9.35 g cm⁻³
# energy of formation from the pure elements: 1.074 eV per atom
data_Tl3RuAu
_symmetry_space_group_name_H-M 'P m -3 m'
_symmetry_Int_Tables_number 221
_symmetry_space_group_name_Hall '-P 4 2 3'
_cell_length_a 5.449
_cell_length_b 5.449
_cell_length_c 5.449
_cell_angle_alpha 90.00
_cell_angle_beta 90.00
_cell_angle_gamma 90.00
loop_
_atom_site_label
_atom_site_type_symbol
_atom_site_fract_x
_atom_site_fract_y
_atom_site_fract_z
Tl1 Tl 0.000 0.000 0.500
Ru1 Ru 0.500 0.500 0.500
Au1 Au 0.000 0.000 0.000

=====

Entry 4:
# Fe2PbBr, optimized geometry, DFT GGA-PBE
# density of states at the Fermi level: 0.758 states/eV per atom
# ΔE to the lowest computed polymorph: 0.162 eV/atom
# total magnetic moment: 5.2 μB per formula unit
# crystal system: monoclinic
# theoretical density: 7.16 g cm⁻³
# uncorrected formation energy: 357 meV/atom
data_Fe2PbBr
_symmetry_space_group_name_H-M 'C 1 2/m 1'
_symmetry_Int_Tables_number 12
_cell_length_a 9.513
_cell_length_b 3.266
_cell_length_c 7.548
_cell_angle_alpha 90.00
_cell_angle_beta 127.94
_cell_angle_gamma 90.00
loop_
_symmetry_equiv_pos_as_xyz
'x,y,z'
'-x,-y,-z'
'-x,y,-z'
'x,-y,z'
'x+1/2,y+1/2,z'
'-x+1/2,-y+1/2,-z'
'-x+1/2,y+1/2,-z'
'x+1/2,-y+1/2,z'
loop_
_atom_site_label
_atom_site_type_symbol
_atom_site_fract_x
_atom_site_fract_y
_atom_site_fract_z
Fe1 Fe 0.201 0.000 0.355
Pb1 Pb 0.000 0.000 0.500
Br1 Br 0.000 0.500 0.000

=====

Entry 5:
# AlTe2Pb, optimized geometry, DFT GGA-PBE
# density of states at the Fermi level: 0.549 states/eV per atom
# total magnetic moment: 0.0 μB per formula unit
# crystal system: tetragonal
# theoretical density: 6.98 g cm⁻³
# uncorrected formation energy: 47 meV/atom
data_AlTe2Pb
_symmetry_space_group_name_H-M 'P 4 m m'
_symmetry_Int_Tables_number 99
_cell_length_a 3.547
_cell_length_b 3.547
_cell_length_c 9.253
_cell_angle_alpha 90.00
_cell_angle_beta 90.00
_cell_angle_gamma 90.00
loop_
_symmetry_equiv_pos_as_xyz
'x,y,z'
'-y,x,z'
'-x,-y,z'
'y,-x,z'
'-x,y,z'
'y,x,z'
'x,-y,z'
'-y,-x,z'
loop_
_atom_site_label
_atom_site_type_symbol
_atom_site_fract_x
_atom_site_fract_y
_atom_site_fract_z
Al1 Al 0.000 0.000 0.000
Te1 Te 0.000 0.000 0.499
Te2 Te 0.500 0.500 0.855
Pb1 Pb 0.500 0.500 0.232

=====

Entry 6:
# KCoSb2, optimized geometry, DFT GGA-PBE
# density of states at the Fermi level: 0.386 states/eV per atom
# ΔE to the lowest computed polymorph: 0.144 eV/atom
# total magnetic moment: 0.0 μB per formula unit
# crystal system: orthorhombic
# theoretical density: 6.09 g cm⁻³
# uncorrected formation energy: -32 meV/atom
data_KCoSb2
_symmetry_space_group_name_H-M 'P m m m'
_symmetry_Int_Tables_number 47
_cell_length_a 3.203
_cell_length_b 3.377
_cell_length_c 8.603
_cell_angle_alpha 90.00
_cell_angle_beta 90.00
_cell_angle_gamma 90.00
loop_
_symmetry_equiv_pos_as_xyz
'x,y,z'
'-x,-y,-z'
'-x,-y,z'
'x,y,-z'
'x,-y,-z'
'-x,y,z'
'-x,y,-z'
'x,-y,z'
loop_
_atom_site_label
_atom_site_type_symbol
_atom_site_fract_x
_atom_site_fract_y
_atom_site_fract_z
K1 K 0.000 0.000 0.000
Co1 Co 0.000 0.000 0.500
Sb1 Sb 0.500 0.500 0.324

=====

Entry 7:
# MnCrSe4, optimized geometry, DFT GGA-PBE
# density of states at the Fermi level: 0.613 states/eV per atom
# total magnetic moment: 9.9 μB per formula unit
# crystal system: cubic
# theoretical density: 5.33 g cm⁻³
# uncorrected formation energy: 813 meV/atom
data_MnCrSe4
_symmetry_space_group_name_H-M 'F -4 3 m'
_symmetry_Int_Tables_number 216
_symmetry_space_group_name_Hall 'F -4 2 3'
_cell_length_a 8.078
_cell_length_b 8.078
_cell_length_c 8.078
_cell_angle_alpha 90.00
_cell_angle_beta 90.00
_cell_angle_gamma 90.00
loop_
_atom_site_label
_atom_site_type_symbol
_atom_site_fract_x
_atom_site_fract_y
_atom_site_fract_z
Mn1 Mn 0.000 0.000 0.000
Cr1 Cr 0.250 0.250 0.250
Se1 Se 0.125 0.125 0.625

=====

Entry 8:
# BaScFe2, optimized geometry, DFT GGA-PBE
# density of states at the Fermi level: 1.012 states/eV per atom
# ΔE to the lowest computed polymorph: 0.154 eV/atom
# total magnetic moment: 3.8 μB per formula unit
# crystal system: monoclinic
# theoretical density: 4.68 g cm⁻³
# energy of formation from the pure elements: 0.390 eV per atom
data_BaScFe2
_symmetry_space_group_name_H-M 'C 1 2/m 1'
_symmetry_Int_Tables_number 12
_cell_length_a 8.836
_cell_length_b 3.940
_cell_length_c 6.626
_cell_angle_alpha 90.00
_cell_angle_beta 115.19
_cell_angle_gamma 90.00
loop_
_symmetry_equiv_pos_as_xyz
'x,y,z'
'-x,-y,-z'
'-x,y,-z'
'x,-y,z'
'x+1/2,y+1/2,z'
'-x+1/2,-y+1/2,-z'
'-x+1/2,y+1/2,-z'
'x+1/2,-y+1/2,z'
loop_
_atom_site_label
_atom_site_type_symbol
_atom_site_fract_x
_atom_site_fract_y
_atom_site_fract_z
Ba1 Ba 0.000 0.000 0.000
Sc1 Sc 0.000 0.500 0.500
Fe1 Fe 0.228 0.000 0.582

=====

Look up the density of states at the Fermi level of the seventh one. 0.613 states/eV per atom

=====

Copy entry 7 word for word.
# MnCrSe4, optimized geometry, DFT GGA-PBE
# density of states at the Fermi level: 0.613 states/eV per atom
# total magnetic moment: 9.9 μB per formula unit
# crystal system: cubic
# theoretical density: 5.33 g cm⁻³
# uncorrected formation energy: 813 meV/atom
data_MnCrSe4
_symmetry_space_group_name_H-M 'F -4 3 m'
_symmetry_Int_Tables_number 216
_symmetry_space_group_name_Hall 'F -4 2 3'
_cell_length_a 8.078
_cell_length_b 8.078
_cell_length_c 8.078
_cell_angle_alpha 90.00
_cell_angle_beta 90.00
_cell_angle_gamma 90.00
loop_
_atom_site_label
_atom_site_type_symbol
_atom_site_fract_x
_atom_site_fract_y
_atom_site_fract_z
Mn1 Mn 0.000 0.000 0.000
Cr1 Cr 0.250 0.250 0.250
Se1 Se 0.125 0.125 0.625